{"formula": "CeSmEr6", "functional": "PBE", "state": "relaxed", "sg": "No. 123", "delta_e_f_ev_per_atom": 0.044, "lattice_angstrom": [[4.982, 0.000, 0.000], [0.000, 4.982, 0.000], [0.000, 0.000, 9.952]], "species": ["Er", "Er", "Er", "Er", "Er", "Er", "Sm", "Ce"], "frac_coords": [[0.500, 0.500, 0.500], [0.500, 0.000, 0.748], [0.000, 0.500, 0.252], [0.000, 0.500, 0.748], [0.500, 0.000, 0.252], [0.500, 0.500, 0.000], [0.000, 0.000, 0.000], [0.000, 0.000, 0.500]]}

***

{"formula": "CeSm6Er", "functional": "PBE", "state": "relaxed", "sg": "No. 123", "delta_e_f_ev_per_atom": 0.049, "lattice_angstrom": [[5.090, 0.000, 0.000], [0.000, 5.090, 0.000], [0.000, 0.000, 10.183]], "species": ["Er", "Sm", "Sm", "Sm", "Sm", "Sm", "Sm", "Ce"], "frac_coords": [[0.000, 0.000, 0.000], [0.000, 0.500, 0.251], [0.500, 0.000, 0.251], [0.500, 0.000, 0.749], [0.500, 0.500, 0.000], [0.500, 0.500, 0.500], [0.000, 0.500, 0.749], [0.000, 0.000, 0.500]]}

***

{"formula": "CeSm3Er2", "functional": "PBE", "state": "relaxed", "sg": "No. 58", "delta_e_f_ev_per_atom": 0.174, "lattice_angstrom": [[3.507, 0.000, 0.000], [0.000, 16.058, 0.000], [0.000, 0.000, 6.946]], "species": ["Er", "Er", "Er", "Er", "Sm", "Sm", "Sm", "Sm", "Sm", "Sm", "Ce", "Ce"], "frac_coords": [[0.000, 0.347, 0.247], [0.000, 0.653, 0.753], [0.500, 0.153, 0.747], [0.500, 0.847, 0.253], [0.500, 0.157, 0.252], [0.000, 0.343, 0.752], [0.000, 0.657, 0.248], [0.500, 0.843, 0.748], [0.000, 0.000, 0.000], [0.500, 0.500, 0.500], [0.500, 0.500, 0.000], [0.000, 0.000, 0.500]]}

***

{"formula": "Ce2Sm5Er6", "functional": "PBE", "state": "relaxed", "sg": "No. 55", "delta_e_f_ev_per_atom": 0.125, "lattice_angstrom": [[3.543, 0.000, 0.000], [0.000, 11.416, 0.000], [0.000, 0.000, 20.781]], "species": ["Er", "Er", "Er", "Er", "Er", "Er", "Er", "Er", "Er", "Er", "Er", "Er", "Sm", "Sm", "Sm", "Sm", "Sm", "Sm", "Sm", "Sm", "Sm", "Sm", "Ce", "Ce", "Ce", "Ce"], "frac_coords": [[0.500, 0.814, 0.376], [0.500, 0.314, 0.124], [0.000, 0.583, 0.438], [0.000, 0.564, 0.147], [0.500, 0.686, 0.876], [0.000, 0.436, 0.853], [0.000, 0.064, 0.353], [0.000, 0.083, 0.062], [0.500, 0.186, 0.624], [0.000, 0.417, 0.562], [0.000, 0.936, 0.647], [0.000, 0.917, 0.938], [0.500, 0.189, 0.922], [0.500, 0.000, 0.500], [0.500, 0.562, 0.294], [0.500, 0.811, 0.078], [0.500, 0.438, 0.706], [0.500, 0.500, 0.000], [0.500, 0.062, 0.206], [0.500, 0.938, 0.794], [0.500, 0.311, 0.422], [0.500, 0.689, 0.578], [0.000, 0.191, 0.764], [0.000, 0.309, 0.264], [0.000, 0.809, 0.236], [0.000, 0.691, 0.736]]}